Record 1
Entry from Alexandria: a relaxed HoTmCd3 crystal (PBE).

Calculated values
Energy of formation, meV/atom: -279
Symmetry: Cmcm, No. 63

a = 14.751 Å, b = 14.751 Å, c = 4.931 Å
α = 90.00°, β = 90.00°, γ = 166.57°
Fractional coordinates of all 10 atoms:
Ho  0.075  0.925  0.750
Ho  0.925  0.075  0.250
Tm  0.216  0.784  0.250
Tm  0.784  0.216  0.750
Cd  0.324  0.676  0.250
Cd  0.378  0.622  0.750
Cd  0.476  0.524  0.750
Cd  0.524  0.476  0.250
Cd  0.622  0.378  0.250
Cd  0.676  0.324  0.750


Record 2
Entry from Alexandria: a relaxed Cs2Li2MgBr6 crystal (PBE).

Calculated values
Uncorrected formation energy, meV/atom: -1582
Symmetry: C2/m, No. 12

a = 7.833 Å, b = 7.833 Å, c = 8.121 Å
α = 112.87°, β = 112.87°, γ = 59.71°
Fractional coordinates of all 11 atoms:
Cs  0.214  0.214  0.176
Cs  0.786  0.786  0.824
Li  0.418  0.418  0.716
Li  0.582  0.582  0.284
Mg  0.000  0.000  0.500
Br  0.215  0.737  0.243
Br  0.226  0.226  0.647
Br  0.263  0.785  0.757
Br  0.737  0.215  0.243
Br  0.774  0.774  0.353
Br  0.785  0.263  0.757


Record 3
Entry from Alexandria: a relaxed TiMnReIr crystal (PBE).

Calculated values
Energy of formation, meV/atom: -338
Symmetry: F-43m, No. 216

a = 6.128 Å, b = 6.128 Å, c = 6.128 Å
α = 90.00°, β = 90.00°, γ = 90.00°
Fractional coordinates of all 16 atoms:
Ti  0.000  0.000  0.000
Ti  0.000  0.500  0.500
Ti  0.500  0.000  0.500
Ti  0.500  0.500  0.000
Mn  0.000  0.000  0.500
Mn  0.000  0.500  0.000
Mn  0.500  0.000  0.000
Mn  0.500  0.500  0.500
Re  0.250  0.250  0.750
Re  0.250  0.750  0.250
Re  0.750  0.250  0.250
Re  0.750  0.750  0.750
Ir  0.250  0.250  0.250
Ir  0.250  0.750  0.750
Ir  0.750  0.250  0.750
Ir  0.750  0.750  0.250


Record 4
Entry from Alexandria: a relaxed SrZn2F7 crystal (PBE).

Calculated values
Uncorrected formation energy, meV/atom: -2487
Symmetry: Cmmm, No. 65

a = 6.121 Å, b = 6.121 Å, c = 3.874 Å
α = 90.00°, β = 90.00°, γ = 114.15°
Fractional coordinates of all 10 atoms:
Sr  0.000  0.000  0.000
Zn  0.303  0.697  0.500
Zn  0.697  0.303  0.500
F  0.053  0.316  0.500
F  0.280  0.720  0.000
F  0.316  0.053  0.500
F  0.500  0.500  0.500
F  0.684  0.947  0.500
F  0.720  0.280  0.000
F  0.947  0.684  0.500


Number 1: N(E_F) 0.84 states/eV per atom. Number 2: N(E_F) 0.00 states/eV per atom. Number 3: N(E_F) 0.86 states/eV per atom. Number 4: N(E_F) 0.64 states/eV per atom.